[1]
Material: Mg2AgPd2
Method: DFT, GGA-PBE
State: optimized geometry

**Size of the total moment**: 0.000 μB/cell
**VASP energy**: -37.7 eV/cell
**ΔE to the lowest computed polymorph**: 0.000 eV/f.u.

Lattice parameters (Å, degrees): 7.542 7.542 3.035 90.00 90.00 90.00
Fractional coordinates of all 10 atoms:
Pd1 0.365 0.865 0.000
Pd2 0.865 0.635 0.000
Pd3 0.635 0.135 0.000
Pd4 0.135 0.365 0.000
Ag1 0.000 0.000 0.000
Ag2 0.500 0.500 0.000
Mg1 0.663 0.837 0.500
Mg2 0.837 0.337 0.500
Mg3 0.163 0.663 0.500
Mg4 0.337 0.163 0.500

[2]
Material: TmCo12
Method: DFT, GGA-PBE
State: optimized geometry

**Size of the total moment**: 18.774 μB/cell
**VASP energy**: -90.6 eV/cell

Lattice parameters (Å, degrees): 4.655 6.265 6.265 82.07 68.19 68.19
Fractional coordinates of all 13 atoms:
Co1 0.000 0.642 0.358
Co2 0.500 0.223 0.777
Co3 0.000 0.500 0.000
Co4 0.642 0.358 0.358
Co5 0.500 0.000 0.500
Co6 0.000 0.358 0.642
Co7 0.358 0.642 0.642
Co8 0.277 0.223 0.223
Co9 0.723 0.777 0.777
Co10 0.000 0.000 0.500
Co11 0.500 0.500 0.000
Co12 0.500 0.777 0.223
Tm1 0.000 0.000 0.000

[3]
Material: AcIn12Au6
Method: DFT, GGA-PBE
State: optimized geometry

**Size of the total moment**: 0.000 μB/cell
**VASP energy**: -60.2 eV/cell

Lattice parameters (Å, degrees): 8.410 8.410 8.410 107.48 107.48 107.48
Fractional coordinates of all 19 atoms:
In1 0.448 0.196 0.448
In2 0.500 0.108 0.892
In3 0.108 0.500 0.892
In4 0.804 0.552 0.552
In5 0.552 0.804 0.552
In6 0.448 0.448 0.196
In7 0.108 0.892 0.500
In8 0.892 0.108 0.500
In9 0.500 0.892 0.108
In10 0.196 0.448 0.448
In11 0.892 0.500 0.108
In12 0.552 0.552 0.804
Au1 0.803 0.249 0.249
Au2 0.249 0.249 0.803
Au3 0.751 0.197 0.751
Au4 0.197 0.751 0.751
Au5 0.751 0.751 0.197
Au6 0.249 0.803 0.249
Ac1 0.000 0.000 0.000

[4]
Material: MgW2Cl
Method: DFT, GGA-PBE
State: optimized geometry

**Size of the total moment**: 0.000 μB/cell
**VASP energy**: -26.6 eV/cell
**ΔE to the lowest computed polymorph**: 2.198 eV/f.u.

Lattice parameters (Å, degrees): 9.292 9.292 9.292 17.93 17.93 17.93
Fractional coordinates of all 4 atoms:
W1 0.506 0.506 0.506
W2 0.994 0.994 0.994
Mg1 0.750 0.750 0.750
Cl1 0.250 0.250 0.250

[5]
Material: Tm2CdP
Method: DFT, GGA-PBE
State: optimized geometry

**Size of the total moment**: 0.000 μB/cell
**VASP energy**: -18.7 eV/cell

Lattice parameters (Å, degrees): 3.818 3.818 8.201 76.54 76.54 60.00
Fractional coordinates of all 4 atoms:
Cd1 0.500 0.500 0.500
Tm1 0.734 0.734 0.799
Tm2 0.266 0.266 0.201
P1 0.000 0.000 0.000

[6]
Material: Y2TmCo9
Method: DFT, GGA-PBE
State: optimized geometry

**Size of the total moment**: 10.546 μB/cell
**VASP energy**: -83.5 eV/cell

Lattice parameters (Å, degrees): 4.964 4.964 8.621 73.27 73.27 60.00
Fractional coordinates of all 12 atoms:
Co1 0.418 0.418 0.242
Co2 0.582 0.582 0.758
Co3 0.418 0.921 0.242
Co4 0.335 0.335 0.996
Co5 0.665 0.665 0.004
Co6 0.079 0.582 0.758
Co7 0.582 0.079 0.758
Co8 0.921 0.418 0.242
Co9 0.500 0.500 0.500
Y1 0.861 0.861 0.418
Y2 0.139 0.139 0.582
Tm1 0.000 0.000 0.000

[7]
Material: Pm6InPb3
Method: DFT, GGA-PBE
State: optimized geometry

**Size of the total moment**: 3.717 μB/cell
**VASP energy**: -92.9 eV/cell

Lattice parameters (Å, degrees): 5.705 12.560 12.114 135.20 90.00 90.00
Fractional coordinates of all 20 atoms:
Pm1 0.750 0.161 0.477
Pm2 0.750 0.913 0.813
Pm3 0.250 0.230 0.729
Pm4 0.750 0.770 0.271
Pm5 0.250 0.156 0.959
Pm6 0.750 0.369 0.048
Pm7 0.250 0.478 0.383
Pm8 0.250 0.631 0.952
Pm9 0.750 0.844 0.041
Pm10 0.750 0.522 0.617
Pm11 0.250 0.839 0.523
Pm12 0.250 0.087 0.187
Pb1 0.750 0.478 0.864
Pb2 0.250 0.774 0.803
Pb3 0.250 0.522 0.136
Pb4 0.750 0.651 0.443
Pb5 0.750 0.226 0.197
Pb6 0.250 0.349 0.557
In1 0.250 0.946 0.326
In2 0.750 0.054 0.674

[8]
Material: Rb2U2HgTe6
Method: DFT, GGA-PBE
State: optimized geometry

**Size of the total moment**: 4.000 μB/cell
**VASP energy**: -50.9 eV/cell

Lattice parameters (Å, degrees): 8.044 8.044 9.082 97.01 97.01 124.19
Fractional coordinates of all 11 atoms:
Te1 0.431 0.059 0.705
Te2 0.569 0.941 0.295
Te3 0.745 0.745 0.674
Te4 0.059 0.431 0.705
Te5 0.255 0.255 0.326
Te6 0.941 0.569 0.295
Hg1 0.000 0.000 0.500
Rb1 0.846 0.154 0.000
Rb2 0.154 0.846 0.000
U1 0.669 0.331 0.500
U2 0.331 0.669 0.500